4
Lattice="-2.101 0.295 -1.881 0.744 -2.451 -1.216 -4.060 -3.231 4.029" Properties=species:S:1:pos:R:3 comment="CdCo2As, single point on PBEsol structure, DFT SCAN" density_g_cm3=9.596 formation_enthalpy_0k_ev_per_fu=0.60 crystal_system=tetragonal pbc="T T T"
Co -2.912 -0.351 -1.074
As -0.679 -1.078 -1.548
Cd -2.709 -2.693 0.466
Co -3.249 -2.584 3.222

***

4
Lattice="4.247 0.000 0.000 0.000 4.247 0.000 0.000 0.000 4.757" Properties=species:S:1:pos:R:3 comment="Te2IrBr, single point on PBEsol structure, DFT SCAN" density_g_cm3=10.205 e_form_raw_ev_per_atom=1.079 crystal_system=tetragonal pbc="T T T"
Ir 0.000 0.000 2.378
Br 2.123 2.123 2.378
Te 2.123 0.000 0.000
Te 0.000 2.123 0.000

***

6
Lattice="3.032 0.000 0.000 0.000 3.032 0.000 -1.516 -1.516 13.676" Properties=species:S:1:pos:R:3 comment="Li2Mg, single point on PBEsol structure, DFT SCAN" density_g_cm3=1.009 formation_enthalpy_0k_ev_per_fu=0.05 crystal_system=tetragonal pbc="T T T"
Li 1.516 0.000 9.022
Li 1.516 1.516 2.184
Mg 0.000 0.000 0.000
Li 1.516 0.000 4.654
Mg 0.000 1.516 6.838
Li 0.000 0.000 11.492

***

5
Lattice="-0.565 -2.009 3.677 3.709 -1.777 -0.401 1.736 3.172 2.000" Properties=species:S:1:pos:R:3 comment="GaAsP2N, single point on PBEsol structure, DFT SCAN" density_g_cm3=5.074 e_form_raw_ev_per_atom=0.852 crystal_system=tetragonal pbc="T T T"
P 1.855 -0.888 -0.201
Ga -0.282 -1.005 1.838
As 2.440 -0.307 2.638
N 0.000 0.000 0.000
P 0.868 1.586 1.000

***

12
Lattice="-2.135 0.826 -1.749 -2.973 -4.742 1.390 -0.791 3.829 5.146" Properties=species:S:1:pos:R:3 comment="Li3Cr2NiO6, single point on PBEsol structure, DFT SCAN" density_g_cm3=4.565 e_form_raw_ev_per_atom=-2.235 crystal_system=monoclinic pbc="T T T"
Li -3.224 -0.293 3.797
O -0.832 1.157 1.562
O -2.598 2.943 4.560
Cr -1.761 2.015 3.100
O -3.487 1.330 2.511
Li 0.000 0.000 0.000
O -3.302 -3.030 0.226
Cr -4.139 -2.102 1.686
O -2.412 -1.417 2.275
Ni -1.487 -2.371 0.695
Li -2.675 0.205 0.989
O -5.067 -1.244 3.224

***

4
Lattice="3.802 0.000 0.000 0.000 3.802 0.000 -1.901 -1.901 3.781" Properties=species:S:1:pos:R:3 comment="IrOsRu2, single point on PBEsol structure, DFT SCAN" density_g_cm3=17.764 formation_enthalpy_0k_ev_per_fu=0.13 crystal_system=tetragonal pbc="T T T"
Ru 1.901 0.000 1.891
Ru 0.000 1.901 1.891
Os 0.000 0.000 0.000
Ir 1.901 1.901 0.000

***

24
Lattice="-3.161 0.316 -1.640 -1.975 -4.806 2.878 -3.774 6.676 8.558" Properties=species:S:1:pos:R:3 comment="DyReB4, single point on PBEsol structure, DFT SCAN" density_g_cm3=10.669 formation_enthalpy_0k_ev_per_fu=-3.89 crystal_system=orthorhombic pbc="T T T"
Re -4.168 4.330 8.866
B -6.388 3.567 9.099
B -4.066 1.535 4.235
B -5.503 5.969 7.858
B -4.238 4.672 5.171
B -3.871 3.265 4.193
B -3.406 -3.783 1.938
Dy -3.190 2.547 6.637
Re -1.580 -2.460 2.570
Dy -4.931 1.478 9.786
B -5.660 3.037 7.595
Dy -2.558 -0.677 4.799
B -5.038 -1.079 5.603
B -2.522 -1.381 0.697
B -5.075 4.578 6.766
B -4.671 -2.486 4.625
B -3.337 0.879 2.703
B -3.834 -2.392 3.030
B -4.843 0.651 5.561
B -3.249 -0.851 2.201
Dy -0.817 0.392 1.650
Re -3.928 -0.244 7.522
Re -1.820 2.114 3.915
B -5.572 1.308 7.093

***

5
Lattice="5.008 0.000 0.000 0.000 5.351 0.000 0.000 0.000 5.351" Properties=species:S:1:pos:R:3 comment="AgHg2SBr, single point on PBEsol structure, DFT SCAN" density_g_cm3=7.191 e_form_raw_ev_per_atom=0.413 crystal_system=tetragonal pbc="T T T"
Hg 0.000 0.000 2.676
Br 2.504 0.000 0.000
Ag 0.000 0.000 0.000
S 2.504 2.676 2.676
Hg 0.000 2.676 0.000

***

Number 1: VASP energy -21.1531 eV/atom. Number 2: VASP energy -40.1863 eV/atom. Number 3: VASP energy -3.2358 eV/atom. Number 4: VASP energy -12.4726 eV/atom. Number 5: VASP energy -10.3604 eV/atom. Number 6: VASP energy -53.1266 eV/atom. Number 7: VASP energy -25.4168 eV/atom. Number 8: VASP energy -38.9446 eV/atom.